[1]
4
Lattice="-0.890 -4.975 0.544 3.052 -2.826 2.923 -1.690 -1.812 4.438" Properties=species:S:1:pos:R:3 comment="MgZr, relaxed, DFT PBE-GGA" spacegroup="Fd-3m, No. 227" energy_ev_per_fu=-9.65 dos_at_fermi_per_ev_cell=4.31 formation_enthalpy_0k_ev_per_atom=0.25 pbc="T T T"
Mg 0.177 -3.603 2.963
Mg 0.295 -6.009 4.942
Zr 0.059 -1.201 0.988
Zr 0.413 -8.412 6.917


[2]
5
Lattice="-2.837 -5.001 -4.356 -0.020 -4.731 5.445 -3.449 -4.210 1.107" Properties=species:S:1:pos:R:3 comment="MgZr4, relaxed, DFT PBE-GGA" de_polymorph_ev_per_fu=0.00 spacegroup="I4/m, No. 87" energy_ev_per_fu=-35.60 dos_at_fermi_per_ev_cell=6.60 formation_enthalpy_0k_ev_per_atom=0.04 pbc="T T T"
Mg 0.000 0.000 0.000
Zr -2.304 -6.923 -0.200
Zr -0.553 -2.809 1.289
Zr -1.733 -3.957 -1.608
Zr -1.124 -5.775 2.697


[3]
6
Lattice="-2.179 1.622 5.321 -2.630 0.809 -5.303 0.009 -5.957 0.455" Properties=species:S:1:pos:R:3 comment="Mg2Zr, relaxed, DFT PBE-GGA" spacegroup="I4/mcm, No. 140" energy_ev_per_fu=-10.71 dos_at_fermi_per_ev_cell=3.88 formation_enthalpy_0k_ev_per_atom=0.34 pbc="T T T"
Mg -3.559 -1.078 1.257
Mg -1.824 -3.632 3.032
Mg -2.975 0.105 -2.558
Mg -1.241 -2.449 -0.783
Zr -3.606 1.823 0.014
Zr -1.202 0.608 0.005